(1)
Material: NaAlSiO4
Method: DFT, PBE
State: relaxed

It has space group P6_3 (No. 173), with a = 10.0547 Å, b = 10.0547 Å, c = 8.4486 Å, α = 90.00°, β = 90.00° and γ = 120.00°. The distinct sites, in fractional coordinates, are Na at (0.0000, 0.0000, 0.0000), Na at (0.0062, 0.5579, 0.0159), Al at (0.0900, 0.7613, 0.3289), Al at (0.3333, 0.6667, 0.8166), Si at (0.0913, 0.7625, 0.6993), Si at (0.3333, 0.6667, 0.2157), O at (0.0153, 0.7100, 0.5223), O at (0.0392, 0.2563, 0.3280), O at (0.0569, 0.2824, 0.6910), O at (0.1596, 0.6516, 0.7530), O at (0.1711, 0.6481, 0.2790) and O at (0.3333, 0.6667, 0.0232).

The calculation puts the distance to the lowest polymorph of the same formula at 13 meV per atom. The value obtained for the magnetization is 0.000 μB/f.u. The raw formation energy comes out at -264.2 kJ per mole of atoms.



(2)
Material: TlSiSe2
Method: DFT, PBE
State: relaxed

It has space group Pmmm (No. 47), with a = 3.5937 Å, b = 4.8031 Å, c = 5.2026 Å, α = 90.00°, β = 90.00° and γ = 90.00°. The distinct sites, in fractional coordinates, are Tl at (0.0000, 0.0000, 0.0000), Si at (0.5000, 0.5000, 0.0000), Se at (0.0000, 0.5000, 0.5000) and Se at (0.5000, 0.0000, 0.5000).

The value obtained for the magnetization is 0.000 μB/f.u. The raw formation energy comes out at 43.0 kJ per mole of atoms.



(3)
Material: KAg2Sb2
Method: DFT, PBE
State: relaxed

It has space group P4/mbm (No. 127), with a = 8.8587 Å, b = 8.8587 Å, c = 3.2437 Å, α = 90.00°, β = 90.00° and γ = 90.00°. The distinct sites, in fractional coordinates, are K at (0.0000, 0.0000, 0.0000), Ag at (0.1280, 0.3720, 0.0000) and Sb at (0.1624, 0.6624, 0.5000).

The calculation puts the distance to the lowest polymorph of the same formula at 143 meV per atom. The value obtained for the magnetization is 0.000 μB/f.u. The raw formation energy comes out at -6.1 kJ per mole of atoms.



(4)
Material: SrMg2Te
Method: DFT, PBE
State: relaxed

It has space group Pm (No. 6), with a = 4.3737 Å, b = 4.2247 Å, c = 7.2667 Å, α = 90.00°, β = 107.37° and γ = 90.00°. The distinct sites, in fractional coordinates, are Sr at (0.0000, 0.0000, 0.0000), Mg at (0.2441, 0.0000, 0.4926), Mg at (0.6674, 0.5000, 0.3376) and Te at (0.4059, 0.5000, 0.8106).

The value obtained for the magnetization is 0.000 μB/f.u. The raw formation energy comes out at -52.4 kJ per mole of atoms.



Please write out number 2 again, unchanged.
Material: TlSiSe2
Method: DFT, PBE
State: relaxed

It has space group Pmmm (No. 47), with a = 3.5937 Å, b = 4.8031 Å, c = 5.2026 Å, α = 90.00°, β = 90.00° and γ = 90.00°. The distinct sites, in fractional coordinates, are Tl at (0.0000, 0.0000, 0.0000), Si at (0.5000, 0.5000, 0.0000), Se at (0.0000, 0.5000, 0.5000) and Se at (0.5000, 0.0000, 0.5000).

The value obtained for the magnetization is 0.000 μB/f.u. The raw formation energy comes out at 43.0 kJ per mole of atoms.



- raw formation energy of number 1 (NaAlSiO4)?
  -264.2 kJ per mole of atoms